Record 1
A relaxed structure of BeCuPb2, computed with PBE.

Electronic total energy: -3.449 eV per atom
Size of the total moment: 0.00 μB per formula unit
Formation energy from the elements: 0.36 eV per atom

```
data_BeCuPb2
_space_group_name_H-M_alt 'I m m 2'
_space_group_IT_number 44
_space_group_name_Hall 'I 2 -2'
_cell_length_a 3.555
_cell_length_b 4.037
_cell_length_c 12.550
_cell_angle_alpha 90.00
_cell_angle_beta 90.00
_cell_angle_gamma 90.00
loop_
_atom_site_label
_atom_site_type_symbol
_atom_site_fract_x
_atom_site_fract_y
_atom_site_fract_z
Be1 Be 0.000 0.000 0.000
Cu1 Cu 0.000 0.500 0.602
Pb1 Pb 0.000 0.000 0.427
Pb2 Pb 0.000 0.500 0.186
```


Record 2
A relaxed structure of Sr2TlPb9, computed with PBE.

Electronic total energy: -3.470 eV per atom
Size of the total moment: 0.00 μB per formula unit
Formation energy from the elements: -0.21 eV per atom

```
data_Sr2TlPb9
_space_group_name_H-M_alt 'P 4/m m m'
_space_group_IT_number 123
_space_group_name_Hall '-P 4 2'
_cell_length_a 5.016
_cell_length_b 5.016
_cell_length_c 15.180
_cell_angle_alpha 90.00
_cell_angle_beta 90.00
_cell_angle_gamma 90.00
loop_
_atom_site_label
_atom_site_type_symbol
_atom_site_fract_x
_atom_site_fract_y
_atom_site_fract_z
Sr1 Sr 0.000 0.000 0.163
Tl1 Tl 0.000 0.000 0.500
Pb1 Pb 0.000 0.500 0.000
Pb2 Pb 0.000 0.500 0.336
Pb3 Pb 0.500 0.500 0.170
Pb4 Pb 0.500 0.500 0.500
```


Record 3
A relaxed structure of Tm6BiC2, computed with PBE.

Electronic total energy: -5.683 eV per atom
Size of the total moment: 0.00 μB per formula unit
Formation energy from the elements: -0.22 eV per atom

```
data_Tm6BiC2
_space_group_name_H-M_alt 'C 1 2/m 1'
_space_group_IT_number 12
_space_group_name_Hall '-C 2y'
_cell_length_a 12.945
_cell_length_b 4.800
_cell_length_c 8.660
_cell_angle_alpha 90.00
_cell_angle_beta 123.66
_cell_angle_gamma 90.00
loop_
_atom_site_label
_atom_site_type_symbol
_atom_site_fract_x
_atom_site_fract_y
_atom_site_fract_z
Tm1 Tm 0.036 0.000 0.192
Tm2 Tm 0.171 0.500 0.582
Tm3 Tm 0.191 0.500 0.065
Bi1 Bi 0.000 0.000 0.500
C1 C 0.181 0.000 0.094
```


Record 4
A relaxed structure of LiP2BrCl, computed with PBE.

E above lowest polymorph: 107 meV per atom
Electronic total energy: -2.567 eV per atom
Size of the total moment: 0.28 μB per formula unit
ΔE_f (raw): 0.683 eV per atom

```
data_LiP2BrCl
_space_group_name_H-M_alt 'P 4/m m m'
_space_group_IT_number 123
_space_group_name_Hall '-P 4 2'
_cell_length_a 4.716
_cell_length_b 4.716
_cell_length_c 7.269
_cell_angle_alpha 90.00
_cell_angle_beta 90.00
_cell_angle_gamma 90.00
loop_
_atom_site_label
_atom_site_type_symbol
_atom_site_fract_x
_atom_site_fract_y
_atom_site_fract_z
Li1 Li 0.000 0.000 0.000
P1 P 0.000 0.500 0.500
Br1 Br 0.500 0.500 0.500
Cl1 Cl 0.500 0.500 0.000
```


Record 5
A relaxed structure of CoHN, computed with PBE.

E above lowest polymorph: 554 meV per atom
Electronic total energy: -5.538 eV per atom
Size of the total moment: 0.81 μB per formula unit

```
data_CoHN
_space_group_name_H-M_alt 'I 4 m m'
_space_group_IT_number 107
_space_group_name_Hall 'I 4 -2'
_cell_length_a 2.661
_cell_length_b 2.661
_cell_length_c 5.760
_cell_angle_alpha 90.00
_cell_angle_beta 90.00
_cell_angle_gamma 90.00
loop_
_atom_site_label
_atom_site_type_symbol
_atom_site_fract_x
_atom_site_fract_y
_atom_site_fract_z
Co1 Co 0.000 0.000 0.000
H1 H 0.000 0.000 0.745
N1 N 0.000 0.000 0.398
```


Record 6
A relaxed structure of Lu2Be2GeO7, computed with PBE.

Electronic total energy: -7.538 eV per atom
Size of the total moment: 0.00 μB per formula unit
ΔE_f (raw): -2.887 eV per atom

```
data_Lu2Be2GeO7
_space_group_name_H-M_alt 'P -4 21 m'
_space_group_IT_number 113
_space_group_name_Hall 'P -4 2ab'
_cell_length_a 7.337
_cell_length_b 7.337
_cell_length_c 4.763
_cell_angle_alpha 90.00
_cell_angle_beta 90.00
_cell_angle_gamma 90.00
loop_
_atom_site_label
_atom_site_type_symbol
_atom_site_fract_x
_atom_site_fract_y
_atom_site_fract_z
Lu1 Lu 0.157 0.343 0.008
Be1 Be 0.136 0.636 0.552
Ge1 Ge 0.000 0.000 0.500
O1 O 0.000 0.500 0.696
O2 O 0.084 0.830 0.724
O3 O 0.142 0.642 0.218
```


The highest size of the total moment belongs to which entry?
CoHN


electronic total energy of number 1 (BeCuPb2)?
-3.449 eV per atom